! CaScHg3, optimized geometry, DFT GGA-PBEsol; values from VASP
&SYSTEM
  ibrav = 0, nat = 5, ntyp = 3
/
ATOMIC_SPECIES
Ca 40.08 Ca.upf
Sc 44.96 Sc.upf
Hg 200.59 Hg.upf
CELL_PARAMETERS angstrom
5.361 0.000 0.000
0.000 5.361 0.000
0.000 0.000 5.361
ATOMIC_POSITIONS angstrom
Ca 0.000 0.000 0.000
Sc 2.680 2.680 2.680
Hg 0.000 0.000 2.680
Hg 0.000 2.680 0.000
Hg 2.680 0.000 0.000
! Total magnetization = 0.81 μB/f.u.
! ΔE_f = 493 meV per atom
! Uncorrected energy = -1.60 eV per atom
! Calculated density = 7402 kg/m³

***

! CaSc2Hg, optimized geometry, DFT GGA-PBEsol; values from VASP
&SYSTEM
  ibrav = 0, nat = 4, ntyp = 3
/
ATOMIC_SPECIES
Ca 40.08 Ca.upf
Sc 44.96 Sc.upf
Hg 200.59 Hg.upf
CELL_PARAMETERS angstrom
3.100 -5.436 0.000
3.100 5.436 0.000
-1.481 0.000 2.889
ATOMIC_POSITIONS angstrom
Ca 0.000 0.000 0.000
Sc 0.810 2.718 1.445
Sc 0.810 -2.718 1.445
Hg 3.100 0.000 0.000
! Total magnetization = 0.00 μB/f.u.
! ΔE_f = -27 meV per atom
! Uncorrected energy = -4.00 eV per atom
! Calculated density = 5637 kg/m³

***

! CaScHg2, optimized geometry, DFT GGA-PBEsol; values from VASP
&SYSTEM
  ibrav = 0, nat = 4, ntyp = 3
/
ATOMIC_SPECIES
Ca 40.08 Ca.upf
Sc 44.96 Sc.upf
Hg 200.59 Hg.upf
CELL_PARAMETERS angstrom
3.531 0.000 0.000
0.000 5.078 0.000
0.000 0.000 5.077
ATOMIC_POSITIONS angstrom
Ca 0.000 0.000 0.000
Sc 0.000 2.539 2.544
Hg 1.765 0.000 2.537
Hg 1.765 2.539 0.007
! Total magnetization = 0.00 μB/f.u.
! ΔE_f = -551 meV per atom
! Uncorrected energy = -3.02 eV per atom
! Calculated density = 8870 kg/m³

***

! CaHg2Se, optimized geometry, DFT GGA-PBEsol; values from VASP
&SYSTEM
  ibrav = 0, nat = 4, ntyp = 3
/
ATOMIC_SPECIES
Ca 40.08 Ca.upf
Hg 200.59 Hg.upf
Se 78.96 Se.upf
CELL_PARAMETERS angstrom
-2.485 2.485 3.916
2.485 -2.485 3.916
2.485 2.485 -3.916
ATOMIC_POSITIONS angstrom
Ca 0.000 0.000 0.000
Hg 0.000 0.000 3.916
Hg 0.000 2.485 1.958
Se 2.485 0.000 1.958
! Uncorrected formation energy = -15.64 kcal/mol of atoms
! Total magnetization = 0.00 μB/f.u.
! Uncorrected energy = -2.46 eV per atom
! Calculated density = 8934 kg/m³

***

Look up the total magnetization of the second one.
0.00 μB/f.u.

***

Repeat the first record exactly.
! CaScHg3, optimized geometry, DFT GGA-PBEsol; values from VASP
&SYSTEM
  ibrav = 0, nat = 5, ntyp = 3
/
ATOMIC_SPECIES
Ca 40.08 Ca.upf
Sc 44.96 Sc.upf
Hg 200.59 Hg.upf
CELL_PARAMETERS angstrom
5.361 0.000 0.000
0.000 5.361 0.000
0.000 0.000 5.361
ATOMIC_POSITIONS angstrom
Ca 0.000 0.000 0.000
Sc 2.680 2.680 2.680
Hg 0.000 0.000 2.680
Hg 0.000 2.680 0.000
Hg 2.680 0.000 0.000
! Total magnetization = 0.81 μB/f.u.
! ΔE_f = 493 meV per atom
! Uncorrected energy = -1.60 eV per atom
! Calculated density = 7402 kg/m³

***

What is the uncorrected energy in the third record?
-3.02 eV per atom

***

Which formula does entry 4 have?
CaHg2Se